{"formula": "TmCoO3", "functional": "GGA+U", "state": "relaxed", "density_g_cm3": 9.25, "spacegroup": "Pm-3m (221)", "dft_energy_ev_per_atom": -6.87, "cell": [[3.672, 0.000, 0.000], [0.000, 3.672, 0.000], [0.000, 0.000, 3.672]], "species": ["Tm", "Co", "O", "O", "O"], "frac_coords": [[0.000, 0.000, 0.000], [0.500, 0.500, 0.500], [0.000, 0.500, 0.500], [0.500, 0.000, 0.500], [0.500, 0.500, 0.000]]}